(1)
Entry from Alexandria via LeMat-Bulk: Cd5Pt after structural relaxation (GGA-PBEsol).

Results
- Formation enthalpy at 0 K: -107 meV/atom
- Calculated volume: 18.87 A^3/atom
- Total magnetic moment: 0.0 μB/cell

extended XYZ file:
```
6
Lattice="5.4516 -1.5234 0.0000 5.4516 1.5234 0.0000 -1.7394 0.0000 6.8164" Properties=species:S:1:pos:R:3 pbc="T T T"
Cd 0.0000 0.0000 0.0000
Cd -0.5654 0.0000 4.2125
Cd 2.2861 0.0000 4.6628
Cd 3.6060 0.0000 1.7874
Cd 6.5924 0.0000 2.2815
Pt 6.1368 0.0000 6.4798
```



(2)
Entry from Alexandria via LeMat-Bulk: TmSiAg after structural relaxation (GGA-PBEsol).

Results
- Calculated volume: 18.63 A^3/atom
- Total magnetic moment: 0.0 μB/cell
- Formation energy from raw total energies: -0.659 eV/atom

extended XYZ file:
```
9
Lattice="6.8633 0.0000 0.0000 -3.4316 5.9438 0.0000 0.0000 0.0000 4.1093" Properties=species:S:1:pos:R:3 pbc="T T T"
Tm -1.9894 3.4458 0.0000
Tm 1.4422 2.4980 0.0000
Tm 3.9788 0.0000 0.0000
Si 0.0000 0.0000 0.0000
Si 0.0000 3.9625 2.0547
Si 3.4316 1.9813 2.0547
Ag -0.8577 1.4855 2.0547
Ag 1.7153 0.0000 2.0547
Ag 2.5740 4.4583 2.0547
```



- What is the total magnetic moment in the first record?
  0.0 μB/cell